DFT (PBE) results for a relaxed structure of K2NaAsPd.

Values from the calculation:
Spin magnetization ... 0.00 Bohr magnetons per cell
Uncorrected energy ... -14.13 eV/f.u.
Formation energy ... -0.15 eV/atom

a b c (Å): 6.3220 6.3220 4.6977
angles (deg): 90.00 90.00 90.00
With the nearest neighbours (Å) after each atom.
Space group P4/mmm (No. 123)
Symmetry-distinct sites (fractional):
K: 0.0000 0.5000 0.0000 [2 per cell]  2 Pd 3.16
Na: 0.0000 0.0000 0.5000 [1 per cell]  8 K 3.94
As: 0.5000 0.5000 0.5000 [1 per cell]  2 Pd 2.35
Pd: 0.5000 0.5000 0.0000 [1 per cell]  2 As 2.35